(1)
This record from the Alexandria database describes a relaxed structure of Ba3In. The functional is GGA-PBEsol.

Calculated values
The formation energy comes out at -162 meV per atom. As for the space group: Pm-3m.

Cell: 5.5237 5.5237 5.5237 Å, 90.00 90.00 90.00°
With the nearest neighbours (Å) after each atom.
Sites, in units of the cell vectors:
Ba: 0.0000 0.0000 0.5000  8 Ba 3.91, 4 In 3.91
Ba: 0.0000 0.5000 0.0000  8 Ba 3.91, 4 In 3.91
Ba: 0.5000 0.0000 0.0000  8 Ba 3.91, 4 In 3.91
In: 0.5000 0.5000 0.5000  12 Ba 3.91

=====

(2)
This record from the Alexandria database describes a relaxed structure of SrAl2Si2. The functional is GGA-PBEsol.

Calculated values
Its raw formation energy is -1.501 eV per formula unit. As for the space group: P-3m1.

Cell: 4.1767 4.1767 7.3252 Å, 90.00 90.00 120.00°
With the nearest neighbours (Å) after each atom.
Sites, in units of the cell vectors:
Sr: 0.0000 0.0000 0.0000  6 Si 3.14
Al: 0.3333 0.6667 0.6261  4 Si 2.52-2.58
Al: 0.6667 0.3333 0.3739  4 Si 2.52-2.58
Si: 0.3333 0.6667 0.2738  4 Al 2.52-2.58
Si: 0.6667 0.3333 0.7262  4 Al 2.52-2.58

=====

(3)
This record from the Alexandria database describes a relaxed structure of Y2TlCr. The functional is GGA-PBEsol.

Calculated values
As for the energy above the most stable polymorph in this dataset: 189 meV per atom. The formation energy comes out at 214 meV per atom. As for the space group: P4mm.

Cell: 3.4447 3.4447 8.2128 Å, 90.00 90.00 90.00°
With the nearest neighbours (Å) after each atom.
Sites, in units of the cell vectors:
Y: 0.0000 0.0000 0.0000  4 Tl 3.25, 8 Y 3.44-3.60
Y: 0.5000 0.5000 0.3225  4 Cr 3.08, 1 Tl 3.41, 4 Y 3.44
Tl: 0.5000 0.5000 0.7381  4 Cr 2.88
Cr: 0.0000 0.0000 0.5514  4 Tl 2.88, 4 Y 3.08

=====

(4)
This record from the Alexandria database describes a relaxed structure of SiIr. The functional is GGA-PBEsol.

Calculated values
Its raw formation energy is -0.093 eV per formula unit. As for the space group: P6_3mc.

Cell: 3.7997 3.7997 5.9881 Å, 90.00 90.00 120.00°
With the nearest neighbours (Å) after each atom.
Sites, in units of the cell vectors:
Si: 0.3333 0.6667 0.0000  4 Ir 2.30
Si: 0.6667 0.3333 0.5000  4 Ir 2.30
Ir: 0.3333 0.6667 0.3841  4 Si 2.30
Ir: 0.6667 0.3333 0.8841  4 Si 2.30

=====

(5)
This record from the Alexandria database describes a relaxed structure of Co2Sn2Au. The functional is GGA-PBEsol.

Calculated values
The formation energy comes out at 370 meV per atom. As for the space group: I4/mmm.

Cell: 5.9334 5.9334 5.9334 Å, 139.93 139.93 57.97°
With the nearest neighbours (Å) after each atom.
Sites, in units of the cell vectors:
Co: 0.1055 0.1055 0.0000  1 Co 2.19
Co: 0.8945 0.8945 0.0000  1 Co 2.19
Sn: 0.2500 0.7500 0.5000  4 Co 2.53
Sn: 0.7500 0.2500 0.5000  4 Co 2.53
Au: 0.5000 0.5000 0.0000  8 Co 3.08, 8 Sn 3.30

=====

(6)
This record from the Alexandria database describes a relaxed structure of LiAu2. The functional is GGA-PBEsol.

Calculated values
The formation energy comes out at -382 meV per atom. As for the space group: Immm.

Cell: 4.9206 4.9206 4.9206 Å, 147.02 132.52 59.03°
With the nearest neighbours (Å) after each atom.
Sites, in units of the cell vectors:
Li: 0.0000 0.0000 0.0000  10 Au 2.79-2.90, 2 Li 2.79
Au: 0.3381 0.3381 0.0000  7 Au 2.77-2.86, 5 Li 2.79-2.90
Au: 0.6619 0.6619 0.0000  7 Au 2.77-2.86, 5 Li 2.79-2.90

=====

(7)
This record from the Alexandria database describes a relaxed structure of Cr2TcMo. The functional is GGA-PBEsol.

Calculated values
As for the energy above the most stable polymorph in this dataset: 28 meV per atom. The formation energy comes out at 100 meV per atom. As for the space group: F-43m.

Cell: 4.1919 4.1919 4.1919 Å, 60.00 60.00 60.00°
With the nearest neighbours (Å) after each atom.
Sites, in units of the cell vectors:
Cr: 0.0000 0.0000 0.0000  4 Cr 2.57, 4 Mo 2.57
Cr: 0.2500 0.2500 0.2500  4 Tc 2.57, 4 Cr 2.57
Tc: 0.5000 0.5000 0.5000  4 Mo 2.57, 4 Cr 2.57
Mo: 0.7500 0.7500 0.7500  4 Cr 2.57, 4 Tc 2.57

=====

(8)
This record from the Alexandria database describes a relaxed structure of CsCoPO2. The functional is GGA-PBEsol.

Calculated values
Its raw formation energy is -0.263 eV per formula unit. As for the space group: P4/mmm.

Cell: 3.9993 3.9993 4.4790 Å, 90.00 90.00 90.00°
With the nearest neighbours (Å) after each atom.
Sites, in units of the cell vectors:
Cs: 0.0000 0.0000 0.0000  4 P 2.83, 8 O 3.00
Co: 0.5000 0.5000 0.5000  4 O 2.00, 2 P 2.24
P: 0.5000 0.5000 0.0000  2 Co 2.24
O: 0.0000 0.5000 0.5000  2 Co 2.00
O: 0.5000 0.0000 0.5000  2 Co 2.00

=====

(9)
This record from the Alexandria database describes a relaxed structure of Si2AgGeN. The functional is GGA-PBEsol.

Calculated values
Its raw formation energy is 6.905 eV per formula unit. As for the space group: P4/mmm.

Cell: 4.9850 4.9850 3.7225 Å, 90.00 90.00 90.00°
With the nearest neighbours (Å) after each atom.
Sites, in units of the cell vectors:
Si: 0.0000 0.5000 0.0000  2 Ag 2.49
Si: 0.5000 0.0000 0.0000  2 Ag 2.49
Ag: 0.0000 0.0000 0.0000  2 N 1.86
Ge: 0.5000 0.5000 0.5000  8 Si 3.11
N: 0.0000 0.0000 0.5000  2 Ag 1.86

=====

(10)
This record from the Alexandria database describes a relaxed structure of LiCa2Br. The functional is GGA-PBEsol.

Calculated values
Its raw formation energy is -2.250 eV per formula unit. As for the energy above the most stable polymorph in this dataset: 38 meV per atom. As for the space group: Cm.

Cell: 6.4050 6.4050 6.0134 Å, 115.20 115.20 33.07°
With the nearest neighbours (Å) after each atom.
Sites, in units of the cell vectors:
Li: 0.0000 0.0000 0.0000  2 Br 2.90
Ca: 0.5854 0.5854 0.5791  2 Br 3.14
Ca: 0.7830 0.7830 0.2498  2 Br 3.07
Br: 0.3112 0.3112 0.6834  2 Li 2.90, 4 Ca 3.07-3.14

=====

(11)
This record from the Alexandria database describes a relaxed structure of Sc3TaIr. The functional is GGA-PBEsol.

Calculated values
The formation energy comes out at 1117 meV per atom. As for the space group: Pm-3m.

Cell: 4.8202 4.8202 4.8202 Å, 90.00 90.00 90.00°
With the nearest neighbours (Å) after each atom.
Sites, in units of the cell vectors:
Sc: 0.0000 0.0000 0.5000  2 Ta 2.41
Sc: 0.0000 0.5000 0.0000  2 Ta 2.41
Sc: 0.5000 0.0000 0.0000  2 Ta 2.41
Ta: 0.0000 0.0000 0.0000  6 Sc 2.41
Ir: 0.5000 0.5000 0.5000  12 Sc 3.41

=====

(12)
This record from the Alexandria database describes a relaxed structure of Nd3Al12Ru4. The functional is GGA-PBEsol.

Calculated values
The formation energy comes out at -624 meV per atom. As for the space group: P6_3/mmc.

Cell: 8.8130 8.8130 9.6075 Å, 90.00 90.00 120.00°
With the nearest neighbours (Å) after each atom.
Sites, in units of the cell vectors:
Nd: 0.1923 0.3845 0.2500  11 Al 2.93-3.21
Nd: 0.1923 0.8077 0.2500  11 Al 2.93-3.21
Nd: 0.3845 0.1923 0.7500  11 Al 2.93-3.21
Nd: 0.6155 0.8077 0.2500  11 Al 2.93-3.21
Nd: 0.8077 0.1923 0.7500  11 Al 2.93-3.21
Nd: 0.8077 0.6155 0.7500  11 Al 2.93-3.21
Al: 0.0000 0.0000 0.2500  2 Ru 2.40
Al: 0.0000 0.0000 0.7500  2 Ru 2.40
Al: 0.1239 0.5619 0.7500  2 Ru 2.58, 6 Al 2.77-2.83
Al: 0.1625 0.3249 0.5755  3 Ru 2.58-2.68, 5 Al 2.73-2.87
Al: 0.1625 0.3249 0.9245  3 Ru 2.58-2.68, 5 Al 2.73-2.87
Al: 0.1625 0.8375 0.5755  3 Ru 2.58-2.68, 5 Al 2.73-2.87
Al: 0.1625 0.8375 0.9245  3 Ru 2.58-2.68, 5 Al 2.73-2.87
Al: 0.3249 0.1625 0.0755  3 Ru 2.58-2.68, 5 Al 2.73-2.87
Al: 0.3249 0.1625 0.4245  3 Ru 2.58-2.68, 5 Al 2.73-2.87
Al: 0.3333 0.6667 0.0100  3 Ru 2.55, 3 Al 2.73
Al: 0.3333 0.6667 0.4900  3 Ru 2.55, 3 Al 2.73
Al: 0.4381 0.5619 0.7500  2 Ru 2.58, 6 Al 2.77-2.83
Al: 0.4381 0.8761 0.7500  2 Ru 2.58, 6 Al 2.77-2.83
Al: 0.5619 0.1239 0.2500  2 Ru 2.58, 6 Al 2.77-2.83
Al: 0.5619 0.4381 0.2500  2 Ru 2.58, 6 Al 2.77-2.83
Al: 0.6667 0.3333 0.5100  3 Ru 2.55, 3 Al 2.73
Al: 0.6667 0.3333 0.9900  3 Ru 2.55, 3 Al 2.73
Al: 0.6751 0.8375 0.5755  3 Ru 2.58-2.68, 5 Al 2.73-2.87
Al: 0.6751 0.8375 0.9245  3 Ru 2.58-2.68, 5 Al 2.73-2.87
Al: 0.8375 0.1625 0.0755  3 Ru 2.58-2.68, 5 Al 2.73-2.87
Al: 0.8375 0.1625 0.4245  3 Ru 2.58-2.68, 5 Al 2.73-2.87
Al: 0.8375 0.6751 0.0755  3 Ru 2.58-2.68, 5 Al 2.73-2.87
Al: 0.8375 0.6751 0.4245  3 Ru 2.58-2.68, 5 Al 2.73-2.87
Al: 0.8761 0.4381 0.2500  2 Ru 2.58, 6 Al 2.77-2.83
Ru: 0.0000 0.0000 0.0000  8 Al 2.40-2.58
Ru: 0.0000 0.0000 0.5000  8 Al 2.40-2.58
Ru: 0.0000 0.5000 0.0000  8 Al 2.55-2.68
Ru: 0.0000 0.5000 0.5000  8 Al 2.55-2.68
Ru: 0.5000 0.0000 0.0000  8 Al 2.55-2.68
Ru: 0.5000 0.0000 0.5000  8 Al 2.55-2.68
Ru: 0.5000 0.5000 0.0000  8 Al 2.55-2.68
Ru: 0.5000 0.5000 0.5000  8 Al 2.55-2.68

=====

(13)
This record from the Alexandria database describes a relaxed structure of Zr2ZnIr. The functional is GGA-PBEsol.

Calculated values
The formation energy comes out at -331 meV per atom. As for the space group: F-43m.

Cell: 4.5640 4.5640 4.5640 Å, 60.00 60.00 60.00°
With the nearest neighbours (Å) after each atom.
Sites, in units of the cell vectors:
Zr: 0.0000 0.0000 0.0000  4 Zn 2.79, 4 Zr 2.79
Zr: 0.2500 0.2500 0.2500  4 Zr 2.79, 4 Ir 2.79
Zn: 0.7500 0.7500 0.7500  4 Zr 2.79, 4 Ir 2.79
Ir: 0.5000 0.5000 0.5000  4 Zr 2.79, 4 Zn 2.79